[1]
! PIr2Pb (PBE, optimized geometry); values from VASP
&SYSTEM
  ibrav = 0, nat = 4, ntyp = 3
/
ATOMIC_SPECIES
Ir 192.22 Ir.upf
P 30.97 P.upf
Pb 207.20 Pb.upf
CELL_PARAMETERS angstrom
4.2562 -0.0223 -0.0032
2.9269 3.0901 -0.0032
0.8361 0.3571 5.7466
ATOMIC_POSITIONS crystal
Ir 0.9833 0.9833 0.0632
Ir 0.2397 0.2397 0.3551
P 0.5408 0.5408 0.3120
Pb 0.7362 0.7362 0.7697
! Offset from the most stable computed form: 0 meV/atom

***

[2]
! ThPa2Tc2 (PBE, optimized geometry); values from VASP
&SYSTEM
  ibrav = 0, nat = 10, ntyp = 3
/
ATOMIC_SPECIES
Th 232.04 Th.upf
Pa 231.04 Pa.upf
Tc 98.00 Tc.upf
CELL_PARAMETERS angstrom
-3.5714 -0.9883 0.0483
-1.7289 -0.3955 6.2430
-4.4499 9.2095 1.5556
ATOMIC_POSITIONS crystal
Th 0.6837 0.9818 0.6509
Th 0.3163 0.0182 0.3491
Pa 0.0712 0.5779 0.2796
Pa 0.1705 0.7457 0.9134
Pa 0.9288 0.4221 0.7204
Pa 0.8295 0.2543 0.0866
Tc 0.3804 0.6603 0.5789
Tc 0.4412 0.2076 0.9100
Tc 0.6196 0.3397 0.4211
Tc 0.5588 0.7924 0.0900
! E_tot: -9.531 eV/atom

***

Here are the calculated volume numbers, same order: 19.0 23.1 (Å³ per atom).